Entry 1:
Computed, not measured: Gd2Er2SiF5 after structural relaxation at the PBE-GGA level of DFT.

Properties
Calculated volume ... 18.27 Å³/atom
E_tot ... -5.915 eV/atom

a b c (Å): 7.847 7.847 7.535
angles (deg): 114.57 114.57 25.80
Element x y z (fractional)
1 Gd 0.002 0.002 0.233
2 Gd 0.998 0.998 0.767
3 Er 0.307 0.307 0.336
4 Er 0.693 0.693 0.664
5 Si 0.500 0.500 0.500
6 F 0.177 0.177 0.433
7 F 0.269 0.269 0.836
8 F 0.500 0.500 0.000
9 F 0.731 0.731 0.164
10 F 0.823 0.823 0.567

---

Entry 2:
Computed, not measured: TbErGeF2 after structural relaxation at the PBE-GGA level of DFT.

Properties
Calculated volume ... 18.08 Å³/atom
E_tot ... -5.972 eV/atom

a b c (Å): 3.985 3.985 6.575
angles (deg): 90.00 90.00 120.00
Element x y z (fractional)
1 Tb 0.000 0.000 0.000
2 Er 0.333 0.667 0.509
3 Ge 0.667 0.333 0.752
4 F 0.000 0.000 0.360
5 F 0.333 0.667 0.158

---

Entry 3:
Computed, not measured: ErTmGeF2 after structural relaxation at the PBE-GGA level of DFT.

Properties
Calculated volume ... 17.55 Å³/atom
E_tot ... -5.927 eV/atom

a b c (Å): 3.951 3.951 6.492
angles (deg): 90.00 90.00 120.00
Element x y z (fractional)
1 Er 0.000 0.000 0.000
2 Tm 0.667 0.333 0.490
3 Ge 0.333 0.667 0.246
4 F 0.000 0.000 0.643
5 F 0.667 0.333 0.843

---

Entry 4:
Computed, not measured: ErH2F4 after structural relaxation at the PBE-GGA level of DFT.

Properties
Calculated volume ... 9.78 Å³/atom
E_tot ... -4.898 eV/atom

a b c (Å): 6.978 5.820 5.541
angles (deg): 75.73 53.94 50.32
Element x y z (fractional)
1 Er 0.125 0.125 0.125
2 Er 0.875 0.875 0.875
3 H 0.251 0.499 0.251
4 H 0.499 0.251 0.499
5 H 0.501 0.749 0.501
6 H 0.749 0.501 0.749
7 F 0.172 0.718 0.348
8 F 0.262 0.348 0.718
9 F 0.282 0.828 0.738
10 F 0.348 0.262 0.172
11 F 0.652 0.738 0.828
12 F 0.718 0.172 0.262
13 F 0.738 0.652 0.282
14 F 0.828 0.282 0.652

---

Entry 5:
Computed, not measured: HoErS2F2 after structural relaxation at the PBE-GGA level of DFT.

Properties
Calculated volume ... 15.61 Å³/atom
E_tot ... -6.517 eV/atom

a b c (Å): 3.724 3.724 6.753
angles (deg): 90.00 90.00 90.00
Element x y z (fractional)
1 Ho 0.000 0.000 0.000
2 Er 0.500 0.500 0.543
3 S 0.000 0.000 0.415
4 S 0.500 0.500 0.129
5 F 0.000 0.500 0.771
6 F 0.500 0.000 0.771

---

Entry 6:
Computed, not measured: HoErSbF2 after structural relaxation at the PBE-GGA level of DFT.

Properties
Calculated volume ... 19.17 Å³/atom
E_tot ... -5.812 eV/atom

a b c (Å): 4.005 4.005 6.900
angles (deg): 90.00 90.00 120.00
Element x y z (fractional)
1 Ho 0.000 0.000 0.000
2 Er 0.667 0.333 0.460
3 Sb 0.333 0.667 0.729
4 F 0.000 0.000 0.334
5 F 0.667 0.333 0.129

---

Entry 7:
Computed, not measured: HoErSe2F2 after structural relaxation at the PBE-GGA level of DFT.

Properties
Calculated volume ... 16.97 Å³/atom
E_tot ... -6.150 eV/atom

a b c (Å): 3.816 3.816 6.991
angles (deg): 90.00 90.00 90.00
Element x y z (fractional)
1 Ho 0.000 0.000 0.000
2 Er 0.500 0.500 0.568
3 Se 0.000 0.000 0.425
4 Se 0.500 0.500 0.144
5 F 0.000 0.500 0.783
6 F 0.500 0.000 0.783

---

Entry 8:
Computed, not measured: Ho2Er2SiF5 after structural relaxation at the PBE-GGA level of DFT.

Properties
Calculated volume ... 20.49 Å³/atom
E_tot ... -5.859 eV/atom

a b c (Å): 8.247 8.247 7.340
angles (deg): 102.69 102.69 24.92
Element x y z (fractional)
1 Ho 0.005 0.005 0.265
2 Ho 0.995 0.995 0.735
3 Er 0.335 0.335 0.901
4 Er 0.665 0.665 0.099
5 Si 0.500 0.500 0.000
6 F 0.170 0.170 0.290
7 F 0.192 0.192 0.915
8 F 0.500 0.500 0.500
9 F 0.808 0.808 0.085
10 F 0.830 0.830 0.710

---

Entry 9:
Computed, not measured: K2ErF5 after structural relaxation at the PBE-GGA level of DFT.

Properties
Calculated volume ... 14.69 Å³/atom
E_tot ... -5.499 eV/atom

a b c (Å): 10.395 6.374 7.094
angles (deg): 90.00 90.00 90.00
Element x y z (fractional)
1 K 0.170 0.043 0.000
2 K 0.170 0.043 0.490
3 K 0.330 0.543 0.500
4 K 0.330 0.543 0.990
5 K 0.670 0.457 0.000
6 K 0.670 0.457 0.490
7 K 0.830 0.957 0.500
8 K 0.830 0.957 0.990
9 Er 0.005 0.566 0.244
10 Er 0.495 0.066 0.744
11 Er 0.505 0.934 0.244
12 Er 0.995 0.434 0.744
13 F 0.011 0.905 0.245
14 F 0.075 0.655 0.533
15 F 0.075 0.655 0.956
16 F 0.173 0.371 0.245
17 F 0.197 0.339 0.745
18 F 0.303 0.839 0.245
19 F 0.327 0.871 0.745
20 F 0.425 0.155 0.033
21 F 0.425 0.155 0.456
22 F 0.489 0.405 0.745
23 F 0.511 0.595 0.245
24 F 0.575 0.845 0.533
25 F 0.575 0.845 0.956
26 F 0.673 0.129 0.245
27 F 0.697 0.161 0.745
28 F 0.803 0.661 0.245
29 F 0.827 0.629 0.745
30 F 0.925 0.345 0.033
31 F 0.925 0.345 0.456
32 F 0.989 0.095 0.745

---

Entry 10:
Computed, not measured: KEr3F10 after structural relaxation at the PBE-GGA level of DFT.

Properties
Calculated volume ... 12.66 Å³/atom
E_tot ... -6.367 eV/atom

a b c (Å): 7.943 7.943 7.943
angles (deg): 60.00 60.00 60.00
Element x y z (fractional)
1 K 0.250 0.250 0.250
2 K 0.750 0.750 0.750
3 Er 0.240 0.240 0.760
4 Er 0.240 0.760 0.240
5 Er 0.240 0.760 0.760
6 Er 0.760 0.240 0.240
7 Er 0.760 0.240 0.760
8 Er 0.760 0.760 0.240
9 F 0.113 0.113 0.113
10 F 0.113 0.113 0.660
11 F 0.113 0.660 0.113
12 F 0.166 0.500 0.500
13 F 0.166 0.500 0.834
14 F 0.166 0.834 0.500
15 F 0.340 0.887 0.887
16 F 0.500 0.166 0.500
17 F 0.500 0.166 0.834
18 F 0.500 0.500 0.166
19 F 0.500 0.500 0.834
20 F 0.500 0.834 0.166
21 F 0.500 0.834 0.500
22 F 0.660 0.113 0.113
23 F 0.834 0.166 0.500
24 F 0.834 0.500 0.166
25 F 0.834 0.500 0.500
26 F 0.887 0.340 0.887
27 F 0.887 0.887 0.340
28 F 0.887 0.887 0.887

---

Entry 11:
Computed, not measured: K3ErF6 after structural relaxation at the PBE-GGA level of DFT.

Properties
Calculated volume ... 16.99 Å³/atom
E_tot ... -5.243 eV/atom

a b c (Å): 6.108 6.430 10.447
angles (deg): 90.00 124.10 90.00
Element x y z (fractional)
1 K 0.000 0.000 0.000
2 K 0.000 0.500 0.500
3 K 0.224 0.062 0.745
4 K 0.224 0.438 0.245
5 K 0.776 0.562 0.755
6 K 0.776 0.938 0.255
7 Er 0.500 0.000 0.500
8 Er 0.500 0.500 0.000
9 F 0.161 0.176 0.447
10 F 0.161 0.324 0.947
11 F 0.258 0.725 0.425
12 F 0.258 0.775 0.925
13 F 0.399 0.063 0.271
14 F 0.399 0.437 0.771
15 F 0.601 0.563 0.229
16 F 0.601 0.937 0.729
17 F 0.742 0.225 0.075
18 F 0.742 0.275 0.575
19 F 0.839 0.676 0.053
20 F 0.839 0.824 0.553

---

Entry 12:
Computed, not measured: Na3ErF6 after structural relaxation at the PBE-GGA level of DFT.

Properties
Calculated volume ... 14.71 Å³/atom
E_tot ... -5.113 eV/atom

a b c (Å): 5.925 5.925 5.925
angles (deg): 60.00 60.00 60.00
Element x y z (fractional)
1 Na 0.000 0.000 0.000
2 Na 0.250 0.250 0.250
3 Na 0.750 0.750 0.750
4 Er 0.500 0.500 0.500
5 F 0.250 0.250 0.750
6 F 0.250 0.750 0.250
7 F 0.250 0.750 0.750
8 F 0.750 0.250 0.250
9 F 0.750 0.250 0.750
10 F 0.750 0.750 0.250

---

Entry 13:
Computed, not measured: ErOF after structural relaxation at the PBE-GGA level of DFT.

Properties
Calculated volume ... 13.52 Å³/atom
E_tot ... -7.666 eV/atom

a b c (Å): 6.779 6.366 5.604
angles (deg): 68.65 61.00 50.35
Element x y z (fractional)
1 Er 0.075 0.675 0.075
2 Er 0.325 0.925 0.325
3 Er 0.675 0.075 0.675
4 Er 0.925 0.325 0.925
5 O 0.009 0.009 0.741
6 O 0.259 0.259 0.991
7 O 0.741 0.741 0.009
8 O 0.991 0.991 0.259
9 F 0.000 0.500 0.500
10 F 0.500 0.000 0.500
11 F 0.500 0.500 0.000
12 F 0.500 0.500 0.500

---

Entry 14:
Computed, not measured: ErOF after structural relaxation at the PBE-GGA level of DFT.

Properties
Calculated volume ... 14.27 Å³/atom
E_tot ... -7.530 eV/atom

a b c (Å): 3.594 6.230 8.237
angles (deg): 71.57 79.03 82.09
Element x y z (fractional)
1 Er 0.000 0.000 0.000
2 Er 0.071 0.801 0.529
3 Er 0.296 0.315 0.252
4 Er 0.627 0.315 0.617
5 O 0.167 0.473 0.461
6 O 0.503 0.151 0.892
7 O 0.562 0.653 0.647
8 O 0.771 0.143 0.410
9 F 0.111 0.028 0.704
10 F 0.210 0.652 0.079
11 F 0.377 0.939 0.239
12 F 0.864 0.315 0.080

---

Entry 15:
Computed, not measured: Er3SiSe2O10F after structural relaxation at the PBE-GGA level of DFT.

Properties
Calculated volume ... 13.34 Å³/atom
E_tot ... -7.177 eV/atom

a b c (Å): 5.806 15.263 10.235
angles (deg): 90.00 90.00 90.00
Element x y z (fractional)
1 Er 0.072 0.153 0.114
2 Er 0.072 0.347 0.386
3 Er 0.250 0.000 0.375
4 Er 0.250 0.500 0.125
5 Er 0.428 0.653 0.386
6 Er 0.428 0.847 0.114
7 Er 0.572 0.153 0.886
8 Er 0.572 0.347 0.614
9 Er 0.750 0.000 0.625
10 Er 0.750 0.500 0.875
11 Er 0.928 0.653 0.614
12 Er 0.928 0.847 0.886
13 Si 0.250 0.000 0.857
14 Si 0.250 0.500 0.643
15 Si 0.750 0.000 0.143
16 Si 0.750 0.500 0.357
17 Se 0.037 0.176 0.616
18 Se 0.037 0.324 0.884
19 Se 0.463 0.676 0.884
20 Se 0.463 0.824 0.616
21 Se 0.537 0.176 0.384
22 Se 0.537 0.324 0.116
23 Se 0.963 0.676 0.116
24 Se 0.963 0.824 0.384
25 O 0.021 0.528 0.727
26 O 0.021 0.972 0.773
27 O 0.022 0.086 0.513
28 O 0.022 0.414 0.987
29 O 0.121 0.745 0.468
30 O 0.121 0.755 0.032
31 O 0.178 0.639 0.219
32 O 0.178 0.861 0.281
33 O 0.229 0.089 0.946
34 O 0.229 0.411 0.554
35 O 0.271 0.589 0.554
36 O 0.271 0.911 0.946
37 O 0.322 0.139 0.281
38 O 0.322 0.361 0.219
39 O 0.379 0.245 0.032
40 O 0.379 0.255 0.468
41 O 0.478 0.586 0.987
42 O 0.478 0.914 0.513
43 O 0.479 0.028 0.773
44 O 0.479 0.472 0.727
45 O 0.521 0.528 0.273
46 O 0.521 0.972 0.227
47 O 0.522 0.086 0.487
48 O 0.522 0.414 0.013
49 O 0.621 0.745 0.532
50 O 0.621 0.755 0.968
51 O 0.678 0.639 0.781
52 O 0.678 0.861 0.719
53 O 0.729 0.089 0.054
54 O 0.729 0.411 0.446
55 O 0.771 0.589 0.446
56 O 0.771 0.911 0.054
57 O 0.822 0.139 0.719
58 O 0.822 0.361 0.781
59 O 0.879 0.245 0.968
60 O 0.879 0.255 0.532
61 O 0.978 0.586 0.013
62 O 0.978 0.914 0.487
63 O 0.979 0.028 0.227
64 O 0.979 0.472 0.273
65 F 0.067 0.750 0.750
66 F 0.433 0.250 0.750
67 F 0.567 0.750 0.250
68 F 0.933 0.250 0.250